1.
Computed, not measured: a relaxed ZnAg2W crystal at the GGA-PBE level of DFT. Values from VASP.

Calculated values
SG: P4/mmm
ΔE_f: 0.3651 eV/atom
raw total energy: -18.469 eV for the cell shown

Geometry as Quantum ESPRESSO input:
```
&SYSTEM
  ibrav = 0, nat = 4, ntyp = 3
/
ATOMIC_SPECIES
W 183.84 W.upf
Ag 107.87 Ag.upf
Zn 65.41 Zn.upf
CELL_PARAMETERS angstrom
2.7552 0.0000 0.0000
0.0000 2.7552 0.0000
0.0000 0.0000 8.5756
ATOMIC_POSITIONS crystal
W 0.5000 0.5000 0.2500
Ag 0.0000 0.0000 0.5087
Ag 0.0000 0.0000 0.9913
Zn 0.5000 0.5000 0.7500
```



2.
Computed, not measured: a relaxed Zn2AgW crystal at the GGA-PBE level of DFT. Values from VASP.

Calculated values
SG: I-42d
energy above the most stable polymorph in this dataset: 2.67 eV/f.u.
ΔE_f: 0.8067 eV/atom
raw total energy: -30.251 eV for the cell shown

Geometry as Quantum ESPRESSO input:
```
&SYSTEM
  ibrav = 0, nat = 8, ntyp = 3
/
ATOMIC_SPECIES
Zn 65.41 Zn.upf
Ag 107.87 Ag.upf
W 183.84 W.upf
CELL_PARAMETERS angstrom
-0.9898 -1.9575 -6.6102
6.1807 -3.2101 0.0251
1.3727 -4.9312 -2.4143
ATOMIC_POSITIONS crystal
Zn 0.8750 0.8691 0.7500
Ag 0.5000 0.5000 0.0000
Ag 0.2500 0.7500 0.5000
W 0.7500 0.2500 0.5000
Zn 0.1309 0.6250 0.2500
Zn 0.6191 0.1250 0.2500
W 0.0000 0.0000 0.0000
Zn 0.3750 0.3809 0.7500
```



3.
Computed, not measured: a relaxed ZnAg2W crystal at the GGA-PBE level of DFT. Values from VASP.

Calculated values
SG: Imm2
ΔE_f: 0.5425 eV/atom
raw total energy: -17.760 eV for the cell shown

Geometry as Quantum ESPRESSO input:
```
&SYSTEM
  ibrav = 0, nat = 4, ntyp = 3
/
ATOMIC_SPECIES
Ag 107.87 Ag.upf
W 183.84 W.upf
Zn 65.41 Zn.upf
CELL_PARAMETERS angstrom
-0.5554 -1.7252 -5.3734
-0.8455 -5.4937 -1.1236
-1.5893 4.9613 2.2402
ATOMIC_POSITIONS crystal
Ag 0.7501 0.2501 0.5000
W 0.4898 0.4898 0.0000
Zn 0.2499 0.7499 0.5000
Ag 0.0102 0.0102 0.0000
```



4.
Computed, not measured: a relaxed ZnAg2W crystal at the GGA-PBE level of DFT. Values from VASP.

Calculated values
SG: R3m
ΔE_f: 0.3133 eV/atom
raw total energy: -18.676 eV for the cell shown

Geometry as Quantum ESPRESSO input:
```
&SYSTEM
  ibrav = 0, nat = 4, ntyp = 3
/
ATOMIC_SPECIES
W 183.84 W.upf
Zn 65.41 Zn.upf
Ag 107.87 Ag.upf
CELL_PARAMETERS angstrom
9.5774 -0.0122 -0.0072
9.1588 2.8007 -0.0072
9.1588 1.3631 2.4467
ATOMIC_POSITIONS crystal
W 0.4968 0.4968 0.4968
Zn 0.7507 0.7507 0.7507
Ag 0.2492 0.2492 0.2492
Ag 0.0033 0.0033 0.0033
```



5.
Computed, not measured: a relaxed Zn2AgW crystal at the GGA-PBE level of DFT. Values from VASP.

Calculated values
SG: P4/mmm
energy above the most stable polymorph in this dataset: 0.93 eV/f.u.
ΔE_f: 0.3709 eV/atom
raw total energy: -16.869 eV for the cell shown

Geometry as Quantum ESPRESSO input:
```
&SYSTEM
  ibrav = 0, nat = 4, ntyp = 3
/
ATOMIC_SPECIES
W 183.84 W.upf
Zn 65.41 Zn.upf
Ag 107.87 Ag.upf
CELL_PARAMETERS angstrom
-2.5895 1.6758 -1.9759
2.1410 -0.7287 -3.4239
-1.9595 -3.5753 -0.4643
ATOMIC_POSITIONS crystal
W 0.5000 0.0000 0.5000
Zn 0.0000 0.5000 0.5000
Zn 0.0000 0.0000 0.0000
Ag 0.5000 0.5000 0.0000
```



6.
Computed, not measured: a relaxed Zn2AgW crystal at the GGA-PBE level of DFT. Values from VASP.

Calculated values
SG: Pmmm
energy above the most stable polymorph in this dataset: 0.69 eV/f.u.
ΔE_f: 0.3110 eV/atom
raw total energy: -17.108 eV for the cell shown

Geometry as Quantum ESPRESSO input:
```
&SYSTEM
  ibrav = 0, nat = 4, ntyp = 3
/
ATOMIC_SPECIES
Zn 65.41 Zn.upf
W 183.84 W.upf
Ag 107.87 Ag.upf
CELL_PARAMETERS angstrom
-2.2964 -1.4487 -0.5148
1.7577 -3.1162 0.9284
-1.7599 0.7324 5.7898
ATOMIC_POSITIONS crystal
Zn 0.0000 0.0000 0.9920
W 0.5000 0.5000 0.7500
Ag 0.5000 0.5000 0.2500
Zn 0.0000 0.0000 0.5080
```



7.
Computed, not measured: a relaxed ZnAg2W crystal at the GGA-PBE level of DFT. Values from VASP.

Calculated values
SG: Pmm2
ΔE_f: 0.4691 eV/atom
raw total energy: -18.053 eV for the cell shown

Geometry as Quantum ESPRESSO input:
```
&SYSTEM
  ibrav = 0, nat = 4, ntyp = 3
/
ATOMIC_SPECIES
W 183.84 W.upf
Zn 65.41 Zn.upf
Ag 107.87 Ag.upf
CELL_PARAMETERS angstrom
-1.6965 0.3753 -2.1493
2.0307 -2.6328 -2.0627
-3.6182 -4.4232 2.0836
ATOMIC_POSITIONS crystal
W 0.0000 0.0000 0.5128
Zn 0.5000 0.5000 0.7403
Ag 0.5000 0.5000 0.2550
Ag 0.0000 0.0000 0.9920
```



8.
Computed, not measured: a relaxed ZnAgW3 crystal at the GGA-PBE level of DFT. Values from VASP.

Calculated values
SG: Pm-3m
energy above the most stable polymorph in this dataset: 0.00 eV/f.u.
ΔE_f: 2.0202 eV/atom
raw total energy: -32.884 eV for the cell shown

Geometry as Quantum ESPRESSO input:
```
&SYSTEM
  ibrav = 0, nat = 5, ntyp = 3
/
ATOMIC_SPECIES
Ag 107.87 Ag.upf
W 183.84 W.upf
Zn 65.41 Zn.upf
CELL_PARAMETERS angstrom
-3.9800 0.0506 -2.2116
-2.1821 -0.8379 3.9077
-0.3635 4.4754 0.7567
ATOMIC_POSITIONS crystal
Ag 0.5000 0.5000 0.5000
W 0.5000 0.0000 0.0000
W 0.0000 0.0000 0.5000
W 0.0000 0.5000 0.0000
Zn 0.0000 0.0000 0.0000
```



9.
Computed, not measured: a relaxed ZnAg2W crystal at the GGA-PBE level of DFT. Values from VASP.

Calculated values
SG: Pm
ΔE_f: 0.4650 eV/atom
raw total energy: -18.070 eV for the cell shown

Geometry as Quantum ESPRESSO input:
```
&SYSTEM
  ibrav = 0, nat = 4, ntyp = 3
/
ATOMIC_SPECIES
Ag 107.87 Ag.upf
W 183.84 W.upf
Zn 65.41 Zn.upf
CELL_PARAMETERS angstrom
-1.8089 -3.3379 2.0308
1.6872 0.3657 2.1038
-2.8661 3.6485 3.4440
ATOMIC_POSITIONS crystal
Ag 0.0000 0.8092 0.0037
W 0.0000 0.5526 0.5230
Ag 0.5000 0.1891 0.2477
Zn 0.5000 0.9492 0.7256
```



10.
Computed, not measured: a relaxed Zn2AgW2 crystal at the GGA-PBE level of DFT. Values from VASP.

Calculated values
SG: P4/mbm
energy above the most stable polymorph in this dataset: 0.00 eV/f.u.
ΔE_f: 0.5975 eV/atom
raw total energy: -56.636 eV for the cell shown

Geometry as Quantum ESPRESSO input:
```
&SYSTEM
  ibrav = 0, nat = 10, ntyp = 3
/
ATOMIC_SPECIES
Zn 65.41 Zn.upf
W 183.84 W.upf
Ag 107.87 Ag.upf
CELL_PARAMETERS angstrom
-0.3344 1.3688 7.8034
7.3202 -2.9338 0.8283
1.0334 2.4686 -0.3887
ATOMIC_POSITIONS crystal
Zn 0.1817 0.6817 0.5000
Zn 0.8183 0.3183 0.5000
W 0.8872 0.6128 0.0000
W 0.3872 0.8872 0.0000
Ag 0.0000 0.0000 0.0000
W 0.1128 0.3872 0.0000
Zn 0.6817 0.8183 0.5000
Ag 0.5000 0.5000 0.0000
Zn 0.3183 0.1817 0.5000
W 0.6128 0.1128 0.0000
```



11.
Computed, not measured: a relaxed ZnAg2W crystal at the GGA-PBE level of DFT. Values from VASP.

Calculated values
SG: P4/mmm
ΔE_f: 0.6521 eV/atom
raw total energy: -17.321 eV for the cell shown

Geometry as Quantum ESPRESSO input:
```
&SYSTEM
  ibrav = 0, nat = 4, ntyp = 3
/
ATOMIC_SPECIES
W 183.84 W.upf
Zn 65.41 Zn.upf
Ag 107.87 Ag.upf
CELL_PARAMETERS angstrom
-0.2579 -2.5663 -4.1816
-3.1910 -3.0931 2.0950
-2.1119 1.6013 -0.8525
ATOMIC_POSITIONS crystal
W 0.5000 0.0000 0.5000
Zn 0.0000 0.5000 0.5000
Ag 0.5000 0.5000 0.0000
Ag 0.0000 0.0000 0.0000
```



12.
Computed, not measured: a relaxed ZnAg2W crystal at the GGA-PBE level of DFT. Values from VASP.

Calculated values
SG: Cmmm
ΔE_f: 0.3564 eV/atom
raw total energy: -18.504 eV for the cell shown

Geometry as Quantum ESPRESSO input:
```
&SYSTEM
  ibrav = 0, nat = 4, ntyp = 3
/
ATOMIC_SPECIES
Ag 107.87 Ag.upf
W 183.84 W.upf
Zn 65.41 Zn.upf
CELL_PARAMETERS angstrom
-0.7377 2.2286 1.4108
-1.2195 -2.2697 0.9288
7.2167 -1.4174 6.0123
ATOMIC_POSITIONS crystal
Ag 0.0000 0.0000 0.5085
W 0.5000 0.5000 0.2500
Zn 0.5000 0.5000 0.7500
Ag 0.0000 0.0000 0.9915
```